DFT (PBE) results for a relaxed structure of BaTlCd.

Computed properties:
E ... -1.6638 eV/atom

a b c (Å): 5.6066 5.6066 5.6066
angles (deg): 60.00 60.00 60.00
With the nearest neighbours (Å) after each atom.
Positions (direct):
Ba: 0.0000 0.0000 0.0000  4 Tl 3.43, 4 Cd 3.43
Tl: 0.2500 0.2500 0.2500  4 Ba 3.43
Cd: 0.7500 0.7500 0.7500  4 Ba 3.43

DFT (PBE) results for a relaxed structure of Ba2TlCd.

Computed properties:
Distance to the lowest polymorph of the same formula ... 0.006 eV/atom

a b c (Å): 4.2082 4.2082 8.7330
angles (deg): 90.00 90.00 90.00
With the nearest neighbours (Å) after each atom.
Positions (direct):
Tl: 0.0000 0.0000 0.5000  8 Ba 3.70
Cd: 0.0000 0.0000 0.0000  8 Ba 3.68
Ba: 0.5000 0.5000 0.2481  4 Cd 3.68, 4 Tl 3.70
Ba: 0.5000 0.5000 0.7519  4 Cd 3.68, 4 Tl 3.70

DFT (PBE) results for a relaxed structure of Ba2TlCd.

Computed properties:
Distance to the lowest polymorph of the same formula ... 0.212 eV/atom

a b c (Å): 5.8629 5.8629 5.8629
angles (deg): 60.00 60.00 60.00
With the nearest neighbours (Å) after each atom.
Positions (direct):
Tl: 0.0000 0.0000 0.0000  4 Cd 3.59, 4 Ba 3.59
Ba: 0.2500 0.2500 0.2500  4 Ba 3.59, 4 Tl 3.59
Ba: 0.5000 0.5000 0.5000  4 Cd 3.59, 4 Ba 3.59
Cd: 0.7500 0.7500 0.7500  4 Tl 3.59, 4 Ba 3.59

DFT (PBE) results for a relaxed structure of BaTl2Cd2.

Computed properties:
E ... -1.9549 eV/atom

a b c (Å): 4.9764 4.9764 7.2575
angles (deg): 110.05 110.05 90.00
With the nearest neighbours (Å) after each atom.
Positions (direct):
Cd: 0.6110 0.6110 0.2220  1 Cd 2.82, 4 Tl 3.05
Cd: 0.3890 0.3890 0.7780  1 Cd 2.82, 4 Tl 3.05
Ba: 0.0000 0.0000 0.0000  8 Cd 3.79, 8 Tl 4.03
Tl: 0.2500 0.7500 0.5000  4 Cd 3.05
Tl: 0.7500 0.2500 0.5000  4 Cd 3.05

DFT (PBE) results for a relaxed structure of BaTlCd.

Computed properties:
E ... -2.1007 eV/atom

a b c (Å): 6.7080 6.7080 8.5448
angles (deg): 128.89 128.89 46.57
With the nearest neighbours (Å) after each atom.
Positions (direct):
Tl: 0.6666 0.6666 0.6078  3 Cd 3.07-3.33, 1 Tl 3.15
Tl: 0.3334 0.3334 0.3922  3 Cd 3.07-3.33, 1 Tl 3.15
Cd: 0.3392 0.3392 0.7872  1 Cd 3.04, 3 Tl 3.07-3.33
Cd: 0.6608 0.6608 0.2128  1 Cd 3.04, 3 Tl 3.07-3.33
Ba: 0.0392 0.0392 0.7914  6 Cd 3.60-3.86, 6 Tl 3.64-3.92
Ba: 0.9608 0.9608 0.2086  6 Cd 3.60-3.86, 6 Tl 3.64-3.92

DFT (PBE) results for a relaxed structure of Ba2TlCd.

Computed properties:
Distance to the lowest polymorph of the same formula ... 0.005 eV/atom

a b c (Å): 8.2999 8.5075 8.6588
angles (deg): 90.00 90.00 90.00
With the nearest neighbours (Å) after each atom.
Positions (direct):
Tl: 0.2623 0.7500 0.0000  8 Ba 3.66-3.70, 1 Cd 3.92
Tl: 0.7623 0.2500 0.5000  8 Ba 3.66-3.70, 1 Cd 3.92
Tl: 0.7377 0.2500 0.0000  8 Ba 3.66-3.70, 1 Cd 3.92
Tl: 0.2377 0.7500 0.5000  8 Ba 3.66-3.70, 1 Cd 3.92
Cd: 0.7342 0.7500 0.0000  8 Ba 3.64-3.71, 1 Tl 3.92
Cd: 0.7658 0.7500 0.5000  8 Ba 3.64-3.71, 1 Tl 3.92
Cd: 0.2342 0.2500 0.5000  8 Ba 3.64-3.71, 1 Tl 3.92
Cd: 0.2658 0.2500 0.0000  8 Ba 3.64-3.71, 1 Tl 3.92
Ba: 0.5000 0.0000 0.2577  4 Cd 3.64-3.71, 4 Tl 3.66-3.70
Ba: 0.0000 0.0000 0.7577  4 Cd 3.64-3.71, 4 Tl 3.66-3.70
Ba: 0.0000 0.5000 0.7577  4 Cd 3.64-3.71, 4 Tl 3.66-3.70
Ba: 0.0000 0.0000 0.2423  4 Cd 3.64-3.71, 4 Tl 3.66-3.70
Ba: 0.5000 0.0000 0.7423  4 Cd 3.64-3.71, 4 Tl 3.66-3.70
Ba: 0.0000 0.5000 0.2423  4 Cd 3.64-3.71, 4 Tl 3.66-3.70
Ba: 0.5000 0.5000 0.7423  4 Cd 3.64-3.71, 4 Tl 3.66-3.70
Ba: 0.5000 0.5000 0.2577  4 Cd 3.64-3.71, 4 Tl 3.66-3.70

DFT (PBE) results for a relaxed structure of Ba2TlCd.

Computed properties:
Distance to the lowest polymorph of the same formula ... 0.000 eV/atom

a b c (Å): 6.0255 8.5319 18.0787
angles (deg): 90.00 90.00 90.00
With the nearest neighbours (Å) after each atom.
Positions (direct):
Tl: 0.4996 0.5000 0.1667  8 Ba 3.69
Tl: 0.0000 0.0000 0.0000  8 Ba 3.69
Tl: 0.5004 0.5000 0.8333  8 Ba 3.69
Tl: 0.9996 0.0000 0.3333  8 Ba 3.69
Tl: 0.0004 0.0000 0.6667  8 Ba 3.69
Tl: 0.5000 0.5000 0.5000  8 Ba 3.69
Ba: 0.5000 0.7500 0.0000  4 Cd 3.69, 4 Tl 3.69
Ba: 0.0004 0.7500 0.8334  4 Cd 3.69, 4 Tl 3.69
Ba: 0.5000 0.2500 0.0000  4 Cd 3.69, 4 Tl 3.69
Ba: 0.9996 0.7500 0.1666  4 Cd 3.69, 4 Tl 3.69
Ba: 0.5004 0.2500 0.6666  4 Cd 3.69, 4 Tl 3.69
Ba: 0.0004 0.2500 0.8334  4 Cd 3.69, 4 Tl 3.69
Ba: 0.9996 0.2500 0.1666  4 Cd 3.69, 4 Tl 3.69
Ba: 0.5004 0.7500 0.6666  4 Cd 3.69, 4 Tl 3.69
Ba: 0.4996 0.7500 0.3334  4 Cd 3.69, 4 Tl 3.69
Ba: 0.4996 0.2500 0.3334  4 Cd 3.69, 4 Tl 3.69
Ba: 0.0000 0.7500 0.5000  4 Cd 3.69, 4 Tl 3.69
Ba: 0.0000 0.2500 0.5000  4 Cd 3.69, 4 Tl 3.69
Cd: 0.5005 0.0000 0.8333  8 Ba 3.69
Cd: 0.5000 0.0000 0.5000  8 Ba 3.69
Cd: 0.0005 0.5000 0.6667  8 Ba 3.69
Cd: 0.0000 0.5000 0.0000  8 Ba 3.69
Cd: 0.4995 0.0000 0.1667  8 Ba 3.69
Cd: 0.9995 0.5000 0.3333  8 Ba 3.69

DFT (PBE) results for a relaxed structure of BaTlCd.

Computed properties:
E ... -1.8896 eV/atom

a b c (Å): 5.4703 5.4703 5.4703
angles (deg): 60.00 60.00 60.00
With the nearest neighbours (Å) after each atom.
Positions (direct):
Tl: 0.0000 0.0000 0.0000  4 Ba 3.35, 4 Cd 3.35
Cd: 0.7500 0.7500 0.7500  4 Tl 3.35
Ba: 0.2500 0.2500 0.2500  4 Tl 3.35

DFT (PBE) results for a relaxed structure of BaTmCd.

Computed properties:
Distance to the lowest polymorph of the same formula ... 0.000 eV/atom
M_tot ... 0.08 μB/f.u.

a b c (Å): 5.4988 5.4988 5.4988
angles (deg): 60.00 60.00 60.00
With the nearest neighbours (Å) after each atom.
Positions (direct):
Cd: 0.0000 0.0000 0.0000  4 Ba 3.37, 4 Tm 3.37
Tm: 0.7500 0.7500 0.7500  4 Cd 3.37
Ba: 0.2500 0.2500 0.2500  4 Cd 3.37

DFT (PBE) results for a relaxed structure of BaCdW2.

Computed properties:
M_tot ... 1.34 μB/f.u.
E ... -5.8361 eV/atom

a b c (Å): 4.9884 4.9884 4.9884
angles (deg): 60.00 60.00 60.00
With the nearest neighbours (Å) after each atom.
Positions (direct):
W: 0.0000 0.0000 0.0000  4 Cd 3.05, 4 W 3.05
W: 0.7500 0.7500 0.7500  4 Ba 3.05, 4 W 3.05
Ba: 0.5000 0.5000 0.5000  4 W 3.05, 4 Cd 3.05
Cd: 0.2500 0.2500 0.2500  4 Ba 3.05, 4 W 3.05

DFT (PBE) results for a relaxed structure of BaCdW.

Computed properties:
Distance to the lowest polymorph of the same formula ... 0.000 eV/atom
M_tot ... 2.50 μB/f.u.

a b c (Å): 5.0830 5.0830 5.0830
angles (deg): 60.00 60.00 60.00
With the nearest neighbours (Å) after each atom.
Positions (direct):
Cd: 0.0000 0.0000 0.0000  4 W 3.11
Ba: 0.5000 0.5000 0.5000  4 W 3.11
W: 0.2500 0.2500 0.2500  4 Ba 3.11, 4 Cd 3.11

DFT (PBE) results for a relaxed structure of Ba2CdW.

Computed properties:
M_tot ... 4.06 μB/f.u.
E ... -3.4307 eV/atom

a b c (Å): 5.6064 5.6064 5.6064
angles (deg): 60.00 60.00 60.00
With the nearest neighbours (Å) after each atom.
Positions (direct):
W: 0.0000 0.0000 0.0000  4 Ba 3.43, 4 Cd 3.43
Cd: 0.2500 0.2500 0.2500  4 Ba 3.43, 4 W 3.43
Ba: 0.7500 0.7500 0.7500  4 Ba 3.43, 4 W 3.43
Ba: 0.5000 0.5000 0.5000  4 Ba 3.43, 4 Cd 3.43